(1)
Crystalline CdAg2Sb at its relaxed geometry, computed with PBE.

a = 6.1851 Å, b = 8.7261 Å, c = 3.1450 Å
α = 90.00°, β = 90.30°, γ = 90.00°
Space group C2/m (No. 12)
Symmetry-distinct sites (fractional):
Cd: 0.0000 0.0000 0.0000 x2
Ag: 0.2500 0.2500 0.5000 x4
Sb: 0.0000 0.5000 0.0000 x2

Output
- Offset from the most stable computed form: 0.037 eV per atom

(2)
Crystalline Dy2ThSi6 at its relaxed geometry, computed with PBE.

a = 7.1195 Å, b = 7.1195 Å, c = 4.0205 Å
α = 90.00°, β = 90.00°, γ = 120.00°
Space group P6/mmm (No. 191)
Symmetry-distinct sites (fractional):
Dy: 0.3333 0.6667 0.0000 x2
Th: 0.0000 0.0000 0.0000 x1
Si: 0.0000 0.3353 0.5000 x6

(3)
Crystalline MnCrAsSe2 at its relaxed geometry, computed with PBE.

a = 4.7485 Å, b = 4.7485 Å, c = 4.3972 Å
α = 90.00°, β = 90.00°, γ = 90.00°
Space group P4/mmm (No. 123)
Symmetry-distinct sites (fractional):
Mn: 0.0000 0.0000 0.0000 x1
Cr: 0.5000 0.5000 0.5000 x1
As: 0.0000 0.0000 0.5000 x1
Se: 0.0000 0.5000 0.0000 x2

Output
- Offset from the most stable computed form: 0.000 eV per atom

(4)
Crystalline NaReW at its relaxed geometry, computed with PBE.

a = 2.7003 Å, b = 4.5193 Å, c = 9.4300 Å
α = 90.00°, β = 95.57°, γ = 90.00°
Space group P2_1/m (No. 11)
Symmetry-distinct sites (fractional):
Na: 0.1939 0.2500 0.3996 x2
Re: 0.1816 0.7500 0.9160 x2
W: 0.4871 0.2500 0.8165 x2

Output
- Energy of formation from the pure elements: 0.56 eV per atom
- Offset from the most stable computed form: 0.126 eV per atom

(5)
Crystalline Ac7GePb2N2 at its relaxed geometry, computed with PBE.

a = 5.2694 Å, b = 5.2694 Å, c = 27.8437 Å
α = 90.00°, β = 90.00°, γ = 90.00°
Space group I4/mmm (No. 139)
Symmetry-distinct sites (fractional):
Ac: 0.0000 0.0000 0.0000 x2
Ac: 0.0000 0.0000 0.1944 x4
Ac: 0.0000 0.5000 0.0916 x8
Ge: 0.0000 0.0000 0.5000 x2
Pb: 0.0000 0.0000 0.3206 x4
N: 0.0000 0.0000 0.0995 x4

(6)
Crystalline LaTb4Dy3S8 at its relaxed geometry, computed with PBE.

a = 7.9028 Å, b = 7.9028 Å, c = 19.3335 Å
α = 90.00°, β = 90.00°, γ = 120.00°
Space group R-3m (No. 166, hexagonal axes)
Symmetry-distinct sites (fractional):
La: 0.0000 0.0000 0.0000 x3
Tb: 0.0000 0.0000 0.5000 x3
Tb: 0.0000 0.5000 0.5000 x9
Dy: 0.0000 0.5000 0.0000 x9
S: 0.0000 0.0000 0.2508 x6
S: 0.0087 0.5044 0.2486 x18

(7)
Crystalline ScHg at its relaxed geometry, computed with PBE.

a = 7.5270 Å, b = 8.9106 Å, c = 11.3378 Å
α = 90.00°, β = 90.00°, γ = 90.00°
Space group Fddd (No. 70, origin choice 2)
Symmetry-distinct sites (fractional):
Sc: 0.1250 0.3217 0.1250 x16
Hg: 0.0649 0.3750 0.8750 x16

Output
- Energy of formation from the pure elements: -0.25 eV per atom

(8)
Crystalline SmMnFe2 at its relaxed geometry, computed with PBE.

a = 3.9817 Å, b = 3.9817 Å, c = 15.0834 Å
α = 90.00°, β = 90.00°, γ = 120.00°
Space group R-3m (No. 166, hexagonal axes)
Symmetry-distinct sites (fractional):
Sm: 0.0000 0.0000 0.0000 x3
Mn: 0.0000 0.0000 0.5000 x3
Fe: 0.0000 0.0000 0.1939 x6

Output
- Energy of formation from the pure elements: 0.15 eV per atom

(9)
Crystalline La6Si2PdBr3 at its relaxed geometry, computed with PBE.

a = 19.2634 Å, b = 4.3141 Å, c = 9.0129 Å
α = 90.00°, β = 103.72°, γ = 90.00°
Space group C2/m (No. 12)
Symmetry-distinct sites (fractional):
La: 0.0080 0.0000 0.2316 x4
La: 0.1619 0.5000 0.1051 x4
La: 0.1737 0.5000 0.5668 x4
Si: 0.1659 0.0000 0.3346 x4
Pd: 0.0000 0.5000 0.0000 x2
Br: 0.0000 0.5000 0.5000 x2
Br: 0.1683 0.0000 0.8333 x4

(10)
Crystalline Sc3AgIr at its relaxed geometry, computed with PBE.

a = 5.0252 Å, b = 5.0252 Å, c = 5.0252 Å
α = 90.00°, β = 90.00°, γ = 90.00°
Space group Pm-3m (No. 221)
Symmetry-distinct sites (fractional):
Sc: 0.0000 0.0000 0.5000 x3
Ag: 0.5000 0.5000 0.5000 x1
Ir: 0.0000 0.0000 0.0000 x1

Output
- Energy of formation from the pure elements: -0.21 eV per atom
- Offset from the most stable computed form: 0.294 eV per atom

(11)
Crystalline RbMg6Co at its relaxed geometry, computed with PBE.

a = 3.8665 Å, b = 7.8118 Å, c = 14.8807 Å
α = 90.00°, β = 90.00°, γ = 90.00°
Space group Amm2 (No. 38)
Symmetry-distinct sites (fractional):
Rb: 0.0000 0.0000 0.0000 x2
Mg: 0.0000 0.1979 0.2751 x4
Mg: 0.5000 0.0000 0.4200 x2
Mg: 0.5000 0.0000 0.7979 x2
Mg: 0.5000 0.1827 0.6213 x4
Co: 0.0000 0.0000 0.6885 x2

Output
- Energy of formation from the pure elements: 0.28 eV per atom
- Offset from the most stable computed form: 0.000 eV per atom

(12)
Crystalline Mn3Au5 at its relaxed geometry, computed with PBE.

a = 5.2113 Å, b = 15.0229 Å, c = 7.3972 Å
α = 90.00°, β = 105.42°, γ = 90.00°
Space group Cm (No. 8)
Symmetry-distinct sites (fractional):
Mn: 0.0000 0.0000 0.0000 x2
Mn: 0.0520 0.5000 0.6379 x2
Mn: 0.2302 0.3306 0.3256 x4
Mn: 0.2947 0.2576 0.9254 x4
Au: 0.0203 0.4057 0.9500 x4
Au: 0.0345 0.0000 0.4144 x2
Au: 0.1669 0.1570 0.1950 x4
Au: 0.4167 0.1905 0.5854 x4
Au: 0.4728 0.3814 0.7091 x4
Au: 0.4916 0.0000 0.2763 x2

Output
- Energy of formation from the pure elements: 0.04 eV per atom

(13)
Crystalline FeSi2Os at its relaxed geometry, computed with PBE.

a = 8.5309 Å, b = 2.8612 Å, c = 4.2039 Å
α = 90.00°, β = 107.49°, γ = 90.00°
Space group Cm (No. 8)
Symmetry-distinct sites (fractional):
Fe: 0.0000 0.0000 0.0000 x2
Si: 0.0052 0.5000 0.5356 x2
Si: 0.2592 0.0000 0.8946 x2
Os: 0.2584 0.5000 0.3972 x2

(14)
Crystalline YB2W at its relaxed geometry, computed with PBE.

a = 3.3792 Å, b = 3.3792 Å, c = 17.0972 Å
α = 90.00°, β = 90.00°, γ = 120.00°
Space group R-3m (No. 166, hexagonal axes)
Symmetry-distinct sites (fractional):
Y: 0.0000 0.0000 0.0000 x3
B: 0.0000 0.0000 0.2338 x6
W: 0.0000 0.0000 0.5000 x3

Output
- Energy of formation from the pure elements: -0.09 eV per atom
- Offset from the most stable computed form: 0.000 eV per atom

(15)
Crystalline YTi2Te2 at its relaxed geometry, computed with PBE.

a = 7.9105 Å, b = 7.9105 Å, c = 3.5554 Å
α = 90.00°, β = 90.00°, γ = 90.00°
Space group P4/mbm (No. 127)
Symmetry-distinct sites (fractional):
Y: 0.0000 0.0000 0.0000 x2
Ti: 0.1231 0.3769 0.0000 x4
Te: 0.1679 0.6679 0.5000 x4

Output
- Offset from the most stable computed form: 0.115 eV per atom

(16)
Crystalline ScCoAg2 at its relaxed geometry, computed with PBE.

a = 2.9372 Å, b = 4.5581 Å, c = 5.2625 Å
α = 90.00°, β = 105.24°, γ = 90.00°
Space group P2/m (No. 10)
Symmetry-distinct sites (fractional):
Sc: 0.0000 0.0000 0.0000 x1
Co: 0.5000 0.0000 0.5000 x1
Ag: 0.3338 0.5000 0.7331 x2

Output
- Energy of formation from the pure elements: 0.11 eV per atom

(17)
Crystalline Rb2ScSiBr6 at its relaxed geometry, computed with PBE.

a = 7.6376 Å, b = 7.6376 Å, c = 12.3501 Å
α = 90.00°, β = 90.00°, γ = 90.00°
Space group I4/mmm (No. 139)
Symmetry-distinct sites (fractional):
Rb: 0.0000 0.5000 0.2500 x4
Sc: 0.0000 0.0000 0.0000 x2
Si: 0.0000 0.0000 0.5000 x2
Br: 0.0000 0.0000 0.2154 x4
Br: 0.2480 0.2480 0.0000 x8

(18)
Crystalline InCo2Os at its relaxed geometry, computed with PBE.

a = 3.9295 Å, b = 3.9295 Å, c = 16.7330 Å
α = 90.00°, β = 90.00°, γ = 90.00°
Space group I-42d (No. 122)
Symmetry-distinct sites (fractional):
In: 0.0000 0.0000 0.0000 x4
Co: 0.1839 0.2500 0.6250 x8
Os: 0.0000 0.0000 0.5000 x4

Output
- Energy of formation from the pure elements: 0.82 eV per atom

(19)
Crystalline LaZr2Al at its relaxed geometry, computed with PBE.

a = 3.3500 Å, b = 3.3500 Å, c = 29.6685 Å
α = 90.00°, β = 90.00°, γ = 120.00°
Space group R-3m (No. 166, hexagonal axes)
Symmetry-distinct sites (fractional):
La: 0.0000 0.0000 0.0000 x3
Zr: 0.0000 0.0000 0.2417 x6
Al: 0.0000 0.0000 0.5000 x3

Output
- Energy of formation from the pure elements: 0.07 eV per atom

(20)
Crystalline Ce4Dy3Sn4 at its relaxed geometry, computed with PBE.

a = 3.8968 Å, b = 10.4873 Å, c = 15.8778 Å
α = 90.00°, β = 90.00°, γ = 90.00°
Space group Immm (No. 71)
Symmetry-distinct sites (fractional):
Ce: 0.0000 0.2301 0.1924 x8
Dy: 0.0000 0.0000 0.3872 x4
Dy: 0.0000 0.5000 0.5000 x2
Sn: 0.0000 0.2911 0.0000 x4
Sn: 0.0000 0.5000 0.2788 x4

Output
- Energy of formation from the pure elements: -0.39 eV per atom

(21)
Crystalline Sm6Tl2Os at its relaxed geometry, computed with PBE.

a = 3.9673 Å, b = 15.0748 Å, c = 8.8344 Å
α = 90.00°, β = 90.00°, γ = 90.00°
Space group Amm2 (No. 38)
Symmetry-distinct sites (fractional):
Sm: 0.0000 0.0000 0.0000 x2
Sm: 0.0000 0.1162 0.6292 x4
Sm: 0.5000 0.0000 0.3555 x2
Sm: 0.5000 0.1938 0.9425 x4
Tl: 0.0000 0.1692 0.2493 x4
Os: 0.5000 0.0000 0.7679 x2

Output
- Energy of formation from the pure elements: -0.25 eV per atom
- Offset from the most stable computed form: 0.000 eV per atom

(22)
Crystalline BeSn3As at its relaxed geometry, computed with PBE.

a = 4.9159 Å, b = 4.9159 Å, c = 4.9159 Å
α = 90.00°, β = 90.00°, γ = 90.00°
Space group Pm-3m (No. 221)
Symmetry-distinct sites (fractional):
Be: 0.0000 0.0000 0.0000 x1
Sn: 0.0000 0.0000 0.5000 x3
As: 0.5000 0.5000 0.5000 x1

Output
- Energy of formation from the pure elements: 0.35 eV per atom
- Offset from the most stable computed form: 0.000 eV per atom

(23)
Crystalline Sm6DyEr3 at its relaxed geometry, computed with PBE.

a = 11.0051 Å, b = 19.1908 Å, c = 6.2436 Å
α = 90.00°, β = 90.00°, γ = 90.00°
Space group Cmc2_1 (No. 36)
Symmetry-distinct sites (fractional):
Sm: 0.0000 0.0409 0.0000 x4
Sm: 0.0000 0.2787 0.2621 x4
Sm: 0.1671 0.4566 0.3656 x8
Sm: 0.2355 0.2898 0.5480 x8
Dy: 0.0000 0.1999 0.7853 x4
Er: 0.0000 0.3867 0.8325 x4
Er: 0.1681 0.1120 0.4436 x8

Output
- Energy of formation from the pure elements: 0.15 eV per atom
- Offset from the most stable computed form: 0.019 eV per atom

Q: Which magnetization values were calculated for the entries above? A: 0.00, 0.00, 0.18, 0.00, 0.00, 0.00, 0.00, 1.36, 0.00, 0.00, 0.00, 12.50, 0.00, 0.00, 0.90, 0.73, 1.00, 2.32, 0.00, 0.00, 0.00, 0.00, 0.00, in μB/f.u..
Q: Which final energy values were calculated for the entries above? A: -0.096, -0.222, -0.189, -0.307, -0.201, -0.235, -0.131, -0.278, -0.196, -0.233, -0.071, -0.200, -0.293, -0.305, -0.222, -0.172, -0.133, -0.229, -0.234, -0.193, -0.190, -0.137, -0.166, in Ha/atom.